# 1
# RbLaCl2

A relaxed structure of RbLaCl2 (GGA-PBE, Alexandria).

- relative energy among the computed polymorphs (eV/f.u.) = 1.624
- energy relative to the elements, uncorrected (eV per atom) = -1.1508
- mass density (g/cm³) = 4.6

Cell lengths 5.3181, 5.3181, 5.3181 Å; angles 60.00, 60.00, 60.00 degrees
Closest atoms and distances in Å follow each position.
Positions (direct):
Cl1 0.7500 0.7500 0.7500  4 La 3.26, 4 Rb 3.26
Cl2 0.2500 0.2500 0.2500  4 La 3.26, 4 Rb 3.26
La1 0.5000 0.5000 0.5000  8 Cl 3.26
Rb1 0.0000 0.0000 0.0000  8 Cl 3.26

# 2
# Rb4La6Cl19

A relaxed structure of Rb4La6Cl19 (GGA-PBE, Alexandria).

- energy relative to the elements, uncorrected (eV per atom) = -2.1732
- mass density (g/cm³) = 2.8

Cell lengths 11.2918, 11.2918, 11.2918 Å; angles 109.47, 109.47, 109.47 degrees
Closest atoms and distances in Å follow each position.
Positions (direct):
La1 0.5000 0.8559 0.3559  6 Cl 2.83-2.89
Rb1 0.0000 0.0000 0.7189  4 Cl 3.17-3.52
Cl1 0.0448 0.3163 0.7022  2 La 2.83-2.89
Cl2 0.3425 0.2978 0.6141  2 La 2.83-2.89
Rb2 0.2811 0.2811 0.2811  4 Cl 3.17-3.52
Cl3 0.2978 0.6141 0.3425  2 La 2.83-2.89
Rb3 0.7189 0.0000 0.0000  4 Cl 3.17-3.52
Cl4 0.3859 0.6837 0.7285  2 La 2.83-2.89
Cl5 0.0000 0.3348 0.3348  2 La 2.86
Cl6 0.0000 0.0000 0.0000  4 Rb 3.17
Cl7 0.6575 0.2715 0.9552  2 La 2.83-2.89
Cl8 0.0000 0.6652 0.6652  2 La 2.86
La2 0.6441 0.5000 0.1441  6 Cl 2.83-2.89
Rb4 0.0000 0.7189 0.0000  4 Cl 3.17-3.52
Cl9 0.6652 0.6652 0.0000  2 La 2.86
Cl10 0.9552 0.6575 0.2715  2 La 2.83-2.89
Cl11 0.7285 0.3859 0.6837  2 La 2.83-2.89
La3 0.3559 0.5000 0.8559  6 Cl 2.83-2.89
Cl12 0.2715 0.9552 0.6575  2 La 2.83-2.89
Cl13 0.3348 0.3348 0.0000  2 La 2.86
Cl14 0.3348 0.0000 0.3348  2 La 2.86
La4 0.1441 0.6441 0.5000  6 Cl 2.83-2.89
La5 0.5000 0.1441 0.6441  6 Cl 2.83-2.89
Cl15 0.6652 0.0000 0.6652  2 La 2.86
Cl16 0.6141 0.3425 0.2978  2 La 2.83-2.89
La6 0.8559 0.3559 0.5000  6 Cl 2.83-2.89
Cl17 0.6837 0.7285 0.3859  2 La 2.83-2.89
Cl18 0.7022 0.0448 0.3163  2 La 2.83-2.89
Cl19 0.3163 0.7022 0.0448  2 La 2.83-2.89

# 3
# RbLa2Cl

A relaxed structure of RbLa2Cl (GGA-PBE, Alexandria).

- relative energy among the computed polymorphs (eV/f.u.) = 1.980
- energy relative to the elements, uncorrected (eV per atom) = 0.2119
- mass density (g/cm³) = 4.6

Cell lengths 5.8752, 5.8752, 5.8752 Å; angles 60.00, 60.00, 60.00 degrees
Closest atoms and distances in Å follow each position.
Positions (direct):
La1 0.7500 0.7500 0.7500  4 Rb 3.60, 4 Cl 3.60
Cl1 0.0000 0.0000 0.0000  8 La 3.60
La2 0.2500 0.2500 0.2500  4 Cl 3.60, 4 Rb 3.60
Rb1 0.5000 0.5000 0.5000  8 La 3.60

Question: What is the formula in the second record?
Answer: Rb4La6Cl19